(1)
FeReW2: single point on PBEsol structure, SCAN.

The space group is Pm (No. 6) and the conventional cell measures 2.654, 4.348 and 5.093 Å, with angles of 90.00, 99.67 and 90.00 degrees. The distinct sites, in fractional coordinates, are Fe at (0.000, 0.000, 0.000), Re at (0.750, 0.500, 0.252), W at (0.245, 0.500, 0.764) and W at (0.497, 0.000, 0.498).

The calculation puts the formation energy at 0.057 eV/atom. For the density of states at the Fermi level, the calculation gives 1.89 states/eV/cell. As for the crystal system: monoclinic. The electronic total energy is -228.374 eV per cell. Its offset from the most stable computed form is 0.000 eV per formula unit.

---

(2)
FeRe2W: single point on PBEsol structure, SCAN.

The space group is P4/mmm (No. 123) and the conventional cell measures 2.674, 2.674 and 7.724 Å, with angles of 90.00, 90.00 and 90.00 degrees. The distinct sites, in fractional coordinates, are Fe at (0.000, 0.000, 0.000), Re at (0.500, 0.500, 0.222) and W at (0.000, 0.000, 0.500).

The calculation puts the formation energy at 0.202 eV/atom. For the density of states at the Fermi level, the calculation gives 3.31 states/eV/cell. As for the crystal system: tetragonal. The electronic total energy is -229.204 eV per cell.

---

(3)
FeReW2: single point on PBEsol structure, SCAN.

The space group is F-43m (No. 216) and the conventional cell measures 6.128, 6.128 and 6.128 Å, with angles of 90.00, 90.00 and 90.00 degrees. The distinct sites, in fractional coordinates, are Fe at (0.000, 0.000, 0.000), Re at (0.250, 0.250, 0.750), W at (0.000, 0.000, 0.500) and W at (0.250, 0.250, 0.250).

The calculation puts the formation energy at 0.110 eV/atom. For the density of states at the Fermi level, the calculation gives 12.61 states/eV/cell. As for the crystal system: cubic. The electronic total energy is -912.656 eV per cell. Its offset from the most stable computed form is 0.211 eV per formula unit.

---

Question: What is the electronic total energy in the second record?
Answer: -229.204 eV per cell

---

Question: Which formula does entry 1 have?
Answer: FeReW2

---

Copy entry 1 word for word.
FeReW2: single point on PBEsol structure, SCAN.

The space group is Pm (No. 6) and the conventional cell measures 2.654, 4.348 and 5.093 Å, with angles of 90.00, 99.67 and 90.00 degrees. The distinct sites, in fractional coordinates, are Fe at (0.000, 0.000, 0.000), Re at (0.750, 0.500, 0.252), W at (0.245, 0.500, 0.764) and W at (0.497, 0.000, 0.498).

The calculation puts the formation energy at 0.057 eV/atom. For the density of states at the Fermi level, the calculation gives 1.89 states/eV/cell. As for the crystal system: monoclinic. The electronic total energy is -228.374 eV per cell. Its offset from the most stable computed form is 0.000 eV per formula unit.